Entry 1:
Material: ErThAgRu
Method: DFT, PBE
State: optimized geometry

Calculated values
The magnetization is 0.00 μB/cell. As for the calculated formation energy: -0.27 eV/atom. The value obtained for the density of states at the Fermi level is 3.78 states/eV/f.u.

The structure in extended XYZ format:
```
4
Lattice="0.000 3.574 3.574 3.574 0.000 3.574 3.574 3.574 0.000" Properties=species:S:1:pos:R:3 pbc="T T T"
Er 0.000 0.000 0.000
Th 3.574 3.574 3.574
Ag 1.787 1.787 1.787
Ru 5.360 5.360 5.360
```

Entry 2:
Material: Bi6SbPb5
Method: DFT, PBE
State: optimized geometry

Calculated values
The magnetization is 0.00 μB/cell. The value obtained for the energy relative to the elements, uncorrected is 0.066 eV per atom. The value obtained for the density of states at the Fermi level is 8.53 states/eV/f.u.

The structure in extended XYZ format:
```
12
Lattice="6.804 0.000 0.000 0.017 6.878 0.000 3.394 2.584 8.609" Properties=species:S:1:pos:R:3 pbc="T T T"
Bi 1.610 1.788 2.774
Bi 1.774 3.471 0.033
Bi 5.073 7.542 5.779
Bi 5.142 1.920 2.829
Bi 8.441 5.991 8.575
Bi 8.605 7.674 5.835
Sb 5.108 4.731 4.304
Pb 1.706 4.731 4.304
Pb 3.456 3.511 7.094
Pb 3.435 6.066 1.591
Pb 6.780 3.396 7.018
Pb 6.759 5.951 1.515
```